[1]
Compound: Pm6Co2N
Source: Alexandria
Functional: PBE-GGA
Structure: optimized geometry

a b c (Å): 3.674 6.795 10.526
angles (deg): 74.42 79.95 74.32
Fractional coordinates of all 9 atoms:
Pm 0.654 0.241 0.451
Pm 0.990 0.234 0.785
Pm 0.812 0.263 0.113
Pm 0.010 0.766 0.215
N 0.000 0.000 0.000
Pm 0.188 0.737 0.887
Pm 0.346 0.759 0.549
Co 0.324 0.040 0.311
Co 0.676 0.960 0.689

Calculated values
Energy relative to the elements, uncorrected ... -0.17 eV per atom
Energy above the lowest structure with this stoichiometry ... 192 meV/atom
Density ... 6.87 g/cm3
Fermi-level density of states ... 0.776 states/eV per atom
E_tot ... -52.59 eV/cell
Spin magnetization ... 0.000 μB/cell

***

[2]
Compound: Pm2CoRe2N6
Source: Alexandria
Functional: PBE-GGA
Structure: optimized geometry

a b c (Å): 5.869 5.869 6.208
angles (deg): 61.79 61.79 60.00
Fractional coordinates of all 11 atoms:
Re 0.423 0.423 0.730
N 0.229 0.229 0.769
N 0.771 0.771 0.231
Co 0.000 0.000 0.000
Pm 0.197 0.197 0.408
N 0.773 0.229 0.769
Re 0.577 0.577 0.270
Pm 0.803 0.803 0.592
N 0.771 0.227 0.231
N 0.229 0.773 0.769
N 0.227 0.771 0.231

Calculated values
Energy relative to the elements, uncorrected ... -0.21 eV per atom
Density ... 8.62 g/cm3
Fermi-level density of states ... 0.503 states/eV per atom
E_tot ... -93.71 eV/cell
Spin magnetization ... 0.000 μB/cell

***

[3]
Compound: PmCo2SiN
Source: Alexandria
Functional: PBE-GGA
Structure: optimized geometry

a b c (Å): 3.656 5.714 6.795
angles (deg): 90.00 90.00 108.66
Fractional coordinates of all 10 atoms:
Co 0.165 0.329 0.945
Si 0.729 0.457 0.750
Si 0.271 0.543 0.250
N 0.000 0.000 0.500
Co 0.835 0.671 0.055
Co 0.835 0.671 0.445
Pm 0.546 0.091 0.250
Pm 0.454 0.909 0.750
Co 0.165 0.329 0.555
N 0.000 0.000 0.000

Calculated values
Energy relative to the elements, uncorrected ... -0.78 eV per atom
Density ... 7.53 g/cm3
Fermi-level density of states ... 0.776 states/eV per atom
E_tot ... -73.26 eV/cell
Spin magnetization ... 2.105 μB/cell

***

[4]
Compound: SrPmCoN2
Source: Alexandria
Functional: PBE-GGA
Structure: optimized geometry

a b c (Å): 5.147 5.549 6.907
angles (deg): 90.12 90.00 90.00
Fractional coordinates of all 10 atoms:
N 0.260 0.218 0.000
Co 0.000 0.000 0.000
N 0.740 0.218 0.500
Co 0.000 0.000 0.500
Sr 0.001 0.500 0.750
N 0.260 0.782 0.500
N 0.740 0.782 0.000
Pm 0.500 0.000 0.750
Sr 0.999 0.500 0.250
Pm 0.500 0.000 0.250

Calculated values
Energy relative to the elements, uncorrected ... -0.62 eV per atom
Density ... 5.38 g/cm3
Fermi-level density of states ... 0.228 states/eV per atom
E_tot ... -66.55 eV/cell
Spin magnetization ... 4.000 μB/cell

***

[5]
Compound: Pm2CoTcN5
Source: Alexandria
Functional: PBE-GGA
Structure: optimized geometry

a b c (Å): 3.268 7.229 9.744
angles (deg): 90.00 90.00 103.07
Fractional coordinates of all 18 atoms:
Co 0.439 0.879 0.459
Pm 0.880 0.760 0.814
N 0.505 0.009 0.784
N 0.027 0.054 0.020
Pm 0.881 0.762 0.198
Co 0.561 0.121 0.959
N 0.305 0.610 0.648
Tc 0.790 0.581 0.518
N 0.684 0.367 0.877
Tc 0.210 0.419 0.018
N 0.495 0.991 0.284
Pm 0.119 0.238 0.698
N 0.662 0.323 0.507
N 0.695 0.390 0.148
N 0.973 0.946 0.520
N 0.338 0.677 0.007
N 0.316 0.633 0.377
Pm 0.120 0.240 0.314

Calculated values
Energy relative to the elements, uncorrected ... -0.50 eV per atom
Density ... 7.66 g/cm3
Fermi-level density of states ... 0.512 states/eV per atom
E_tot ... -146.16 eV/cell
Spin magnetization ... 0.001 μB/cell

***

[6]
Compound: PmTh2CoN4
Source: Alexandria
Functional: PBE-GGA
Structure: optimized geometry

a b c (Å): 3.583 6.143 11.882
angles (deg): 90.00 90.00 106.96
Fractional coordinates of all 16 atoms:
N 0.000 0.000 0.500
Pm 0.103 0.206 0.750
Co 0.840 0.680 0.750
N 0.732 0.465 0.878
N 0.000 0.000 0.000
N 0.550 0.099 0.250
N 0.450 0.901 0.750
Th 0.632 0.264 0.059
Th 0.368 0.736 0.559
Th 0.632 0.264 0.441
N 0.268 0.535 0.122
N 0.732 0.465 0.622
Th 0.368 0.736 0.941
Pm 0.897 0.794 0.250
N 0.268 0.535 0.378
Co 0.160 0.320 0.250

Calculated values
Energy relative to the elements, uncorrected ... -1.15 eV per atom
Density ... 9.61 g/cm3
Fermi-level density of states ... 0.431 states/eV per atom
E_tot ... -138.35 eV/cell
Spin magnetization ... 4.002 μB/cell

***

[7]
Compound: Pr3Co5N12
Source: Alexandria
Functional: PBE-GGA
Structure: optimized geometry

a b c (Å): 10.694 10.694 10.694
angles (deg): 109.47 109.47 109.47
Fractional coordinates of all 80 atoms:
Pr 0.125 0.875 0.750
Co 0.000 0.000 0.000
Co 0.500 0.000 0.000
Co 0.250 0.375 0.625
N 0.394 0.993 0.806
Co 0.750 0.125 0.875
N 0.912 0.813 0.806
Co 0.875 0.250 0.625
Co 0.375 0.125 0.750
N 0.993 0.394 0.306
Co 0.125 0.375 0.250
Co 0.125 0.750 0.375
N 0.901 0.088 0.894
Pr 0.375 0.625 0.250
Pr 0.250 0.625 0.875
N 0.306 0.894 0.993
N 0.187 0.099 0.993
Pr 0.750 0.375 0.125
Pr 0.625 0.250 0.375
N 0.894 0.588 0.901
N 0.606 0.007 0.194
N 0.806 0.493 0.394
N 0.099 0.912 0.106
Pr 0.250 0.125 0.375
Co 0.375 0.250 0.125
Co 0.750 0.625 0.375
N 0.912 0.099 0.606
N 0.813 0.912 0.306
N 0.813 0.901 0.007
Pr 0.750 0.875 0.625
Pr 0.375 0.750 0.625
N 0.401 0.394 0.588
N 0.606 0.599 0.912
N 0.694 0.106 0.007
N 0.088 0.901 0.394
Co 0.875 0.625 0.750
Pr 0.875 0.750 0.125
Co 0.000 0.000 0.500
N 0.306 0.412 0.813
N 0.194 0.687 0.088
N 0.901 0.813 0.507
N 0.599 0.993 0.687
N 0.806 0.313 0.912
N 0.313 0.507 0.401
N 0.313 0.806 0.412
Co 0.625 0.750 0.875
N 0.507 0.194 0.106
N 0.588 0.894 0.401
N 0.007 0.606 0.694
Pr 0.875 0.125 0.250
Co 0.500 0.000 0.500
Pr 0.125 0.250 0.875
N 0.493 0.806 0.894
N 0.894 0.306 0.493
N 0.194 0.507 0.606
N 0.099 0.187 0.493
N 0.694 0.588 0.187
N 0.106 0.412 0.099
N 0.412 0.306 0.313
N 0.493 0.687 0.099
N 0.599 0.606 0.412
N 0.401 0.007 0.313
Co 0.625 0.875 0.250
Pr 0.625 0.375 0.750
N 0.993 0.599 0.187
N 0.687 0.493 0.599
Co 0.500 0.500 0.000
N 0.394 0.401 0.088
N 0.007 0.401 0.813
Co 0.250 0.875 0.125
Co 0.000 0.500 0.500
N 0.412 0.106 0.599
Co 0.500 0.500 0.500
N 0.088 0.187 0.194
N 0.187 0.088 0.694
N 0.588 0.694 0.687
N 0.687 0.194 0.588
N 0.507 0.313 0.901
N 0.106 0.694 0.507
Co 0.000 0.500 0.000

Calculated values
Energy relative to the elements, uncorrected ... 0.14 eV per atom
Density ... 6.25 g/cm3
Fermi-level density of states ... 0.516 states/eV per atom
E_tot ... -587.55 eV/cell
Spin magnetization ... 0.001 μB/cell

***

[8]
Compound: PrCoN
Source: Alexandria
Functional: PBE-GGA
Structure: optimized geometry

a b c (Å): 5.144 4.606 4.996
angles (deg): 90.00 120.99 90.00
Fractional coordinates of all 6 atoms:
Co 0.000 0.000 0.000
Co 0.000 0.500 0.000
N 0.172 0.250 0.345
Pr 0.312 0.750 0.625
Pr 0.688 0.250 0.375
N 0.828 0.750 0.655

Calculated values
Energy relative to the elements, uncorrected ... -0.66 eV per atom
Density ... 7.00 g/cm3
Fermi-level density of states ... 0.970 states/eV per atom
E_tot ... -44.38 eV/cell
Spin magnetization ... 1.481 μB/cell

***

Among the records above, which one has the highest density? PmTh2CoN4

***

Please write out number 6 again, unchanged.
Compound: PmTh2CoN4
Source: Alexandria
Functional: PBE-GGA
Structure: optimized geometry

a b c (Å): 3.583 6.143 11.882
angles (deg): 90.00 90.00 106.96
Fractional coordinates of all 16 atoms:
N 0.000 0.000 0.500
Pm 0.103 0.206 0.750
Co 0.840 0.680 0.750
N 0.732 0.465 0.878
N 0.000 0.000 0.000
N 0.550 0.099 0.250
N 0.450 0.901 0.750
Th 0.632 0.264 0.059
Th 0.368 0.736 0.559
Th 0.632 0.264 0.441
N 0.268 0.535 0.122
N 0.732 0.465 0.622
Th 0.368 0.736 0.941
Pm 0.897 0.794 0.250
N 0.268 0.535 0.378
Co 0.160 0.320 0.250

Calculated values
Energy relative to the elements, uncorrected ... -1.15 eV per atom
Density ... 9.61 g/cm3
Fermi-level density of states ... 0.431 states/eV per atom
E_tot ... -138.35 eV/cell
Spin magnetization ... 4.002 μB/cell

***

What is the formula in the first record? Pm6Co2N